First-principles (PBE) data for an optimized crystal structure of RbGdPO, as listed in the Open Quantum Materials Database.

final energy = -0.387 Ry/atom
energy above the most stable polymorph in this dataset = 185 meV per atom

Lattice parameters (Å, degrees): 4.137 4.137 10.696 90.00 90.00 90.00
Element x y z (fractional)
Rb  0.250  0.750  0.000
Rb  0.750  0.250  0.000
Gd  0.250  0.250  0.405
Gd  0.750  0.750  0.595
P  0.250  0.250  0.766
P  0.750  0.750  0.234
O  0.250  0.750  0.500
O  0.750  0.250  0.500